{"formula": "Tm2CdPd6", "functional": "PBE", "state": "optimized geometry", "spacegroup": "Cmmm (65)", "energy_ev_per_fu": -45.937, "volume_a3_per_cell": 169.35, "formation_energy_ev_per_atom": -0.547, "lattice": [[3.7300, -7.1649, 0.0000], [3.7300, 7.1649, 0.0000], [0.0000, 0.0000, 3.1683]], "species": ["Tm", "Tm", "Cd", "Pd", "Pd", "Pd", "Pd", "Pd", "Pd"], "fractional_positions": [[0.1892, 0.8108, 0.0000], [0.8108, 0.1892, 0.0000], [0.5000, 0.5000, 0.5000], [0.1467, 0.4653, 0.5000], [0.1849, 0.1849, 0.0000], [0.4653, 0.1467, 0.5000], [0.5347, 0.8533, 0.5000], [0.8151, 0.8151, 0.0000], [0.8533, 0.5347, 0.5000]]}



{"formula": "TmZrCdPd", "functional": "PBE", "state": "optimized geometry", "spacegroup": "F-43m (216)", "energy_ev_per_fu": -20.561, "volume_a3_per_cell": 86.26, "formation_energy_ev_per_atom": -0.358, "lattice": [[0.0000, 3.5069, 3.5069], [3.5069, 0.0000, 3.5069], [3.5069, 3.5069, 0.0000]], "species": ["Tm", "Zr", "Cd", "Pd"], "fractional_positions": [[0.0000, 0.0000, 0.0000], [0.5000, 0.5000, 0.5000], [0.7500, 0.7500, 0.7500], [0.2500, 0.2500, 0.2500]]}



{"formula": "UCdPd2", "functional": "PBE", "state": "optimized geometry", "spacegroup": "P4/mmm (123)", "energy_ev_per_fu": -23.758, "volume_a3_per_cell": 75.94, "formation_energy_ev_per_atom": -0.292, "lattice": [[3.1791, 0.0000, 0.0000], [0.0000, 3.1791, 0.0000], [0.0000, 0.0000, 7.5139]], "species": ["U", "Cd", "Pd", "Pd"], "fractional_positions": [[0.0000, 0.0000, 0.0000], [0.0000, 0.0000, 0.5000], [0.5000, 0.5000, 0.2562], [0.5000, 0.5000, 0.7438]]}



{"formula": "UCdPd5", "functional": "PBE", "state": "optimized geometry", "spacegroup": "Cmmm (65)", "energy_ev_per_fu": -40.467, "volume_a3_per_cell": 130.83, "formation_energy_ev_per_atom": -0.329, "lattice": [[2.8588, -3.9706, 0.0000], [2.8588, 3.9706, 0.0000], [0.0000, 0.0000, 5.7627]], "species": ["U", "Cd", "Pd", "Pd", "Pd", "Pd", "Pd"], "fractional_positions": [[0.0000, 0.0000, 0.0000], [0.5000, 0.5000, 0.5000], [0.0000, 0.5000, 0.2548], [0.0000, 0.5000, 0.7452], [0.5000, 0.0000, 0.2548], [0.5000, 0.0000, 0.7452], [0.5000, 0.5000, 0.0000]]}



{"formula": "UCdPd6", "functional": "PBE", "state": "optimized geometry", "spacegroup": "P4/mmm (123)", "energy_ev_per_fu": -47.154, "volume_a3_per_cell": 135.62, "formation_energy_ev_per_atom": -0.474, "relative_energy_mev_per_atom": 0.0, "lattice": [[4.0999, 0.0000, 0.0000], [0.0000, 4.0999, 0.0000], [0.0000, 0.0000, 8.0678]], "species": ["U", "Cd", "Pd", "Pd", "Pd", "Pd", "Pd", "Pd"], "fractional_positions": [[0.0000, 0.0000, 0.0000], [0.0000, 0.0000, 0.5000], [0.0000, 0.5000, 0.2443], [0.0000, 0.5000, 0.7557], [0.5000, 0.0000, 0.2443], [0.5000, 0.0000, 0.7557], [0.5000, 0.5000, 0.0000], [0.5000, 0.5000, 0.5000]]}



{"formula": "U2CdPd8", "functional": "PBE", "state": "optimized geometry", "spacegroup": "Immm (71)", "energy_ev_per_fu": -68.846, "volume_a3_per_cell": 201.50, "formation_energy_ev_per_atom": -0.347, "lattice": [[-2.0242, 4.0871, 6.0890], [2.0242, -4.0871, 6.0890], [2.0242, 4.0871, -6.0890]], "species": ["U", "U", "Cd", "Pd", "Pd", "Pd", "Pd", "Pd", "Pd", "Pd", "Pd"], "fractional_positions": [[0.1574, 0.1574, 0.0000], [0.8426, 0.8426, 0.0000], [0.5000, 0.5000, 0.0000], [0.0840, 0.3375, 0.7465], [0.2482, 0.0000, 0.2482], [0.3230, 0.8230, 0.5000], [0.4090, 0.6625, 0.7465], [0.5910, 0.3375, 0.2535], [0.6770, 0.1770, 0.5000], [0.7518, 0.0000, 0.7518], [0.9160, 0.6625, 0.2535]]}



{"formula": "UCdPd6", "functional": "PBE", "state": "optimized geometry", "spacegroup": "R-3m (166)", "energy_ev_per_fu": -43.504, "volume_a3_per_cell": 172.37, "formation_energy_ev_per_atom": -0.018, "relative_energy_mev_per_atom": 456.3, "lattice": [[2.7266, 1.5742, 6.6932], [-2.7266, 1.5742, 6.6932], [0.0000, -3.1484, 6.6932]], "species": ["U", "Cd", "Pd", "Pd", "Pd", "Pd", "Pd", "Pd"], "fractional_positions": [[0.0000, 0.0000, 0.0000], [0.5000, 0.5000, 0.5000], [0.0712, 0.0712, 0.5606], [0.0712, 0.5606, 0.0712], [0.4394, 0.9288, 0.9288], [0.5606, 0.0712, 0.0712], [0.9288, 0.4394, 0.9288], [0.9288, 0.9288, 0.4394]]}



{"formula": "UCd2Pd5", "functional": "PBE", "state": "optimized geometry", "spacegroup": "Fmmm (69)", "energy_ev_per_fu": -42.665, "volume_a3_per_cell": 141.10, "formation_energy_ev_per_atom": -0.448, "lattice": [[0.0000, 2.9671, 8.0324], [2.9601, 0.0000, 8.0324], [2.9601, 2.9671, 0.0000]], "species": ["U", "Cd", "Cd", "Pd", "Pd", "Pd", "Pd", "Pd"], "fractional_positions": [[0.0000, 0.0000, 0.0000], [0.2549, 0.2549, 0.7451], [0.7451, 0.7451, 0.2549], [0.1216, 0.1216, 0.3784], [0.3784, 0.3784, 0.1216], [0.5000, 0.5000, 0.5000], [0.6216, 0.6216, 0.8784], [0.8784, 0.8784, 0.6216]]}



{"formula": "UCd3Pd12", "functional": "PBE", "state": "optimized geometry", "spacegroup": "P4/mmm (123)", "energy_ev_per_fu": -81.872, "volume_a3_per_cell": 268.59, "formation_energy_ev_per_atom": -0.345, "lattice": [[4.0831, 0.0000, 0.0000], [0.0000, 4.0831, 0.0000], [0.0000, 0.0000, 16.1111]], "species": ["U", "Cd", "Cd", "Cd", "Pd", "Pd", "Pd", "Pd", "Pd", "Pd", "Pd", "Pd", "Pd", "Pd", "Pd", "Pd"], "fractional_positions": [[0.0000, 0.0000, 0.0000], [0.0000, 0.0000, 0.2541], [0.0000, 0.0000, 0.5000], [0.0000, 0.0000, 0.7459], [0.0000, 0.5000, 0.1229], [0.0000, 0.5000, 0.3766], [0.0000, 0.5000, 0.6234], [0.0000, 0.5000, 0.8771], [0.5000, 0.0000, 0.1229], [0.5000, 0.0000, 0.3766], [0.5000, 0.0000, 0.6234], [0.5000, 0.0000, 0.8771], [0.5000, 0.5000, 0.0000], [0.5000, 0.5000, 0.2505], [0.5000, 0.5000, 0.5000], [0.5000, 0.5000, 0.7495]]}



{"formula": "UCdPd4", "functional": "PBE", "state": "optimized geometry", "spacegroup": "F-43m (216)", "energy_ev_per_fu": -35.137, "volume_a3_per_cell": 109.60, "formation_energy_ev_per_atom": -0.360, "lattice": [[0.0000, 3.7984, 3.7984], [3.7984, 0.0000, 3.7984], [3.7984, 3.7984, 0.0000]], "species": ["U", "Cd", "Pd", "Pd", "Pd", "Pd"], "fractional_positions": [[0.0000, 0.0000, 0.0000], [0.2500, 0.2500, 0.2500], [0.1265, 0.6245, 0.6245], [0.6245, 0.1265, 0.6245], [0.6245, 0.6245, 0.1265], [0.6245, 0.6245, 0.6245]]}



{"formula": "UCdPd2", "functional": "PBE", "state": "optimized geometry", "spacegroup": "R-3m (166)", "energy_ev_per_fu": -23.241, "volume_a3_per_cell": 74.23, "formation_energy_ev_per_atom": -0.163, "lattice": [[1.4959, 0.8637, 9.5760], [-1.4959, 0.8637, 9.5760], [0.0000, -1.7273, 9.5760]], "species": ["U", "Cd", "Pd", "Pd"], "fractional_positions": [[0.0000, 0.0000, 0.0000], [0.5000, 0.5000, 0.5000], [0.2478, 0.2478, 0.2478], [0.7522, 0.7522, 0.7522]]}



{"formula": "VCd2Pd8", "functional": "PBE", "state": "optimized geometry", "spacegroup": "C2/m (12)", "energy_ev_per_fu": -54.377, "volume_a3_per_cell": 181.81, "formation_energy_ev_per_atom": -0.171, "relative_energy_mev_per_atom": 0.0, "lattice": [[7.4188, -2.2726, 0.0000], [7.4188, 2.2726, 0.0000], [-2.3041, 0.0000, 5.3919]], "species": ["V", "Cd", "Cd", "Pd", "Pd", "Pd", "Pd", "Pd", "Pd", "Pd", "Pd"], "fractional_positions": [[0.0000, 0.0000, 0.0000], [0.3093, 0.3093, 0.3100], [0.6907, 0.6907, 0.6900], [0.1329, 0.1329, 0.3978], [0.1334, 0.1334, 0.8688], [0.3240, 0.3240, 0.8241], [0.4998, 0.4998, 0.2523], [0.5002, 0.5002, 0.7477], [0.6760, 0.6760, 0.1759], [0.8666, 0.8666, 0.1312], [0.8671, 0.8671, 0.6022]]}